Compound: Mg3SnH
Source: Alexandria via LeMat-Bulk
Functional: PBE
Structure: relaxed

Geometry as extended XYZ:
```
5
Lattice="4.472 0.000 0.000 0.000 4.472 0.000 0.000 0.000 4.472" Properties=species:S:1:pos:R:3 pbc="T T T"
Mg 0.000 0.000 2.236
Mg 0.000 2.236 0.000
Mg 2.236 0.000 0.000
Sn 2.236 2.236 2.236
H 0.000 0.000 0.000
```

Crystal system = cubic
ΔE to the lowest computed polymorph = 0 meV per atom
Total magnetization = 0.000 μB/atom

Compound: SrMgSnH2
Source: Alexandria via LeMat-Bulk
Functional: PBE
Structure: relaxed

Geometry as extended XYZ:
```
10
Lattice="2.322 -6.095 0.000 2.322 6.095 0.000 0.000 0.000 6.462" Properties=species:S:1:pos:R:3 pbc="T T T"
Sr 2.322 3.456 4.846
Sr 2.322 -3.456 1.615
Mg 2.322 0.000 0.000
Mg 2.322 0.000 3.231
Sn 2.322 5.264 1.615
Sn 2.322 -5.264 4.846
H 2.322 1.999 0.365
H 2.322 1.999 2.866
H 2.322 -1.999 3.596
H 2.322 -1.999 6.096
```

Crystal system = orthorhombic
Raw total energy = -3.111 eV/atom
Total magnetization = 0.000 μB/atom

Compound: SrMgSnH
Source: Alexandria via LeMat-Bulk
Functional: PBE
Structure: relaxed

Geometry as extended XYZ:
```
8
Lattice="4.447 0.000 0.000 0.000 4.447 0.000 0.000 0.000 9.447" Properties=species:S:1:pos:R:3 pbc="T T T"
Sr 1.112 1.112 1.157
Sr 3.335 3.335 8.291
Mg 1.112 3.335 4.724
Mg 3.335 1.112 4.724
Sn 1.112 1.112 6.684
Sn 3.335 3.335 2.763
H 1.112 3.335 0.000
H 3.335 1.112 0.000
```

Crystal system = tetragonal
Raw total energy = -3.084 eV/atom
Total magnetization = 0.000 μB/atom